Entry 1:
5
Lattice="4.4220 0.0000 0.0000 0.0000 4.4220 0.0000 0.0000 0.0000 4.8207" Properties=species:S:1:pos:R:3 comment="NaZrHgB2 (GGA-PBE, optimized geometry)" total_magnetization_mub_per_cell=0.0 spacegroup="P4/mmm (123)" volume_a3_per_atom=18.9 formation_energy_ev_per_atom=2.0962 pbc="T T T"
Na 0.0000 0.0000 0.0000
Zr 0.0000 0.0000 2.4103
Hg 2.2110 2.2110 2.4103
B 0.0000 2.2110 0.0000
B 2.2110 0.0000 0.0000

Entry 2:
17
Lattice="-5.2467 5.4591 5.4606 5.2467 -5.4591 5.4606 5.2467 5.4591 -5.4606" Properties=species:S:1:pos:R:3 comment="KFe4I12 (GGA-PBE, optimized geometry)" total_magnetization_mub_per_cell=17.4 spacegroup="Immm (71)" formation_energy_uncorrected_ev_per_atom=-0.130 volume_a3_per_atom=36.8 pbc="T T T"
K 0.0000 0.0000 0.0000
Fe 2.6234 2.7296 -2.7303
Fe 2.6234 -2.7296 2.7303
Fe -2.6234 2.7296 2.7303
Fe 2.6234 2.7296 2.7303
I 5.2467 2.0761 -2.0684
I 3.2775 5.4591 -2.6008
I 1.9692 0.0000 2.8598
I 1.9623 2.8939 0.0000
I 3.2844 -2.5653 5.4606
I 5.2467 2.0761 2.0684
I 0.0000 3.3830 3.3922
I 1.9623 8.0244 0.0000
I 3.2844 2.5653 5.4606
I 3.2775 5.4591 2.6008
I 1.9692 0.0000 8.0614
I 0.0000 3.3830 7.5290

Entry 3:
16
Lattice="1.6589 -5.8285 0.0000 1.6589 5.8285 0.0000 0.0000 0.0000 11.9467" Properties=species:S:1:pos:R:3 comment="Ca2LaSiN4 (GGA-PBE, optimized geometry)" total_magnetization_mub_per_cell=2.0 spacegroup="Cmcm (63)" formation_energy_uncorrected_ev_per_atom=-0.902 volume_a3_per_atom=14.4 pbc="T T T"
Ca 1.6589 4.2304 6.4874
Ca 1.6589 4.2304 11.4326
Ca 1.6589 -4.2304 0.5140
Ca 1.6589 -4.2304 5.4593
La 1.6589 1.1813 8.9600
La 1.6589 -1.1813 2.9867
Si 1.6589 2.0625 2.9867
Si 1.6589 -2.0625 8.9600
N 1.6589 4.7855 8.9600
N 1.6589 3.1273 1.6257
N 1.6589 3.1273 4.3476
N 1.6589 0.0000 0.0000
N 1.6589 0.0000 5.9733
N 1.6589 -3.1273 7.5991
N 1.6589 -3.1273 10.3209
N 1.6589 -4.7855 2.9867